Record 1
A relaxed HgTeC2 crystal, computed with PBE.

- Space group: I-42d, No. 122
- Total moment: 0.0 μB/f.u.
- Formation energy (no corrections): 1667 meV/atom

abc: 6.1944 6.1944 6.1944
angles: 129.77 129.77 73.77
Fractional positions:
Hg 0.0000 0.0000 0.0000
Hg 0.7500 0.2500 0.5000
Te 0.2500 0.7500 0.5000
Te 0.5000 0.5000 0.0000
C 0.1573 0.6250 0.0323
C 0.3750 0.4073 0.5323
C 0.5927 0.1250 0.9677
C 0.8750 0.8427 0.4677

***

Record 2
A relaxed Al2H6Ir crystal, computed with PBE.

- Space group: Fm-3m, No. 225
- Final energy: -3.8466 eV per atom
- Total moment: 0.0 μB/f.u.

abc: 4.6020 4.6020 4.6020
angles: 60.00 60.00 60.00
Fractional positions:
Al 0.2500 0.2500 0.2500
Al 0.7500 0.7500 0.7500
H 0.2254 0.2254 0.7746
H 0.2254 0.7746 0.2254
H 0.2254 0.7746 0.7746
H 0.7746 0.2254 0.2254
H 0.7746 0.2254 0.7746
H 0.7746 0.7746 0.2254
Ir 0.5000 0.5000 0.5000

***

Record 3
A relaxed Li2CaCu2 crystal, computed with PBE.

- Space group: C2/m, No. 12
- Final energy: -2.8381 eV per atom
- Total moment: 0.0 μB/f.u.

abc: 5.4964 5.4964 5.0410
angles: 108.09 108.09 44.87
Fractional positions:
Li 0.1592 0.1592 0.0640
Li 0.8408 0.8408 0.9360
Ca 0.5000 0.5000 0.5000
Cu 0.2302 0.2302 0.6048
Cu 0.7698 0.7698 0.3952

***

Record 4
A relaxed Ac2NiAg crystal, computed with PBE.

- Space group: P2_1/m, No. 11
- Final energy: -4.4366 eV per atom
- Total moment: 0.0 μB/f.u.

abc: 6.5769 4.3400 8.7400
angles: 90.00 109.99 90.00
Fractional positions:
Ac 0.2204 0.2500 0.4134
Ac 0.2204 0.2500 0.9460
Ac 0.7796 0.7500 0.0540
Ac 0.7796 0.7500 0.5866
Ni 0.3076 0.7500 0.2040
Ni 0.6924 0.2500 0.7960
Ag 0.3626 0.7500 0.7137
Ag 0.6374 0.2500 0.2863

***

Record 5
A relaxed AcSi2As crystal, computed with PBE.

- Space group: P4/mmm, No. 123
- Total moment: 0.0 μB/f.u.
- Formation energy (no corrections): -161 meV/atom

abc: 4.4257 4.4257 4.6275
angles: 90.00 90.00 90.00
Fractional positions:
Ac 0.0000 0.0000 0.0000
Si 0.0000 0.5000 0.5000
Si 0.5000 0.0000 0.5000
As 0.5000 0.5000 0.0000

***

Record 6
A relaxed ZrAlCu2 crystal, computed with PBE.

- Space group: Pnma, No. 62
- Final energy: -5.3949 eV per atom
- Total moment: 0.0 μB/f.u.

abc: 7.0280 4.4529 7.9381
angles: 90.00 90.00 90.00
Fractional positions:
Zr 0.1338 0.2500 0.1989
Zr 0.3662 0.7500 0.6989
Zr 0.6338 0.2500 0.3011
Zr 0.8662 0.7500 0.8011
Al 0.1278 0.2500 0.8195
Al 0.3722 0.7500 0.3195
Al 0.6278 0.2500 0.6805
Al 0.8722 0.7500 0.1805
Cu 0.0570 0.7500 0.4521
Cu 0.2034 0.7500 0.0074
Cu 0.2966 0.2500 0.5074
Cu 0.4430 0.2500 0.9521
Cu 0.5570 0.7500 0.0479
Cu 0.7034 0.7500 0.4926
Cu 0.7966 0.2500 0.9926
Cu 0.9430 0.2500 0.5479

***

Record 7
A relaxed Ga3AsRu crystal, computed with PBE.

- Space group: Pm-3m, No. 221
- Final energy: -4.3181 eV per atom
- Total moment: 1.7 μB/f.u.

abc: 4.8727 4.8727 4.8727
angles: 90.00 90.00 90.00
Fractional positions:
Ga 0.0000 0.0000 0.5000
Ga 0.0000 0.5000 0.0000
Ga 0.5000 0.0000 0.0000
As 0.5000 0.5000 0.5000
Ru 0.0000 0.0000 0.0000

***

Record 8
A relaxed Pu2PdI8 crystal, computed with PBE.

- Space group: C2/m, No. 12
- Total moment: 10.0 μB/f.u.
- Formation energy (no corrections): -758 meV/atom

abc: 7.9882 7.9882 11.4586
angles: 119.01 119.01 55.57
Fractional positions:
Pu 0.1943 0.1943 0.1120
Pu 0.8057 0.8057 0.8880
Pd 0.5000 0.5000 0.5000
I 0.0180 0.0180 0.1908
I 0.0965 0.5883 0.3663
I 0.3467 0.3467 0.9995
I 0.4117 0.9035 0.6337
I 0.5883 0.0965 0.3663
I 0.6533 0.6533 0.0005
I 0.9035 0.4117 0.6337
I 0.9820 0.9820 0.8092

***

Record 9
A relaxed LaHoN crystal, computed with PBE.

- Space group: P4/mmm, No. 123
- Total moment: 0.3 μB/f.u.
- Formation energy (no corrections): -922 meV/atom

abc: 3.7906 3.7906 4.7135
angles: 90.00 90.00 90.00
Fractional positions:
La 0.0000 0.0000 0.0000
Ho 0.5000 0.5000 0.5000
N 0.5000 0.5000 0.0000

***

Record 10
A relaxed TmZn2Ge2 crystal, computed with PBE.

- Space group: Cmcm, No. 63
- Final energy: -3.6137 eV per atom
- Total moment: 0.0 μB/f.u.

abc: 11.4499 11.4499 4.0303
angles: 90.00 90.00 159.97
Fractional positions:
Tm 0.1492 0.8508 0.7500
Tm 0.8508 0.1492 0.2500
Zn 0.0396 0.9604 0.2500
Zn 0.4582 0.5418 0.2500
Zn 0.5418 0.4582 0.7500
Zn 0.9604 0.0396 0.7500
Ge 0.2494 0.7506 0.2500
Ge 0.3802 0.6198 0.7500
Ge 0.6198 0.3802 0.2500
Ge 0.7506 0.2494 0.7500

***

Record 11
A relaxed Tb7Sn2Pt2 crystal, computed with PBE.

- Space group: Cmmm, No. 65
- Final energy: -5.4057 eV per atom
- Total moment: 0.0 μB/f.u.

abc: 6.9258 6.9258 7.0586
angles: 90.00 90.00 106.24
Fractional positions:
Tb 0.0000 0.0000 0.0000
Tb 0.0000 0.5000 0.2530
Tb 0.0000 0.5000 0.7470
Tb 0.5000 0.0000 0.2530
Tb 0.5000 0.0000 0.7470
Tb 0.5000 0.5000 0.2415
Tb 0.5000 0.5000 0.7585
Sn 0.1790 0.1790 0.5000
Sn 0.8210 0.8210 0.5000
Pt 0.2850 0.7150 0.0000
Pt 0.7150 0.2850 0.0000

***

Record 12
A relaxed NaHfSc crystal, computed with PBE.

- Space group: P1, No. 1
- Final energy: -5.7080 eV per atom
- Total moment: 0.1 μB/f.u.

abc: 3.2505 3.2507 17.1101
angles: 90.29 95.01 119.97
Fractional positions:
Na 0.0000 0.0000 0.0000
Na 0.4895 0.7279 0.1950
Hf 0.6860 0.8345 0.5096
Hf 0.9315 0.4533 0.3706
Sc 0.1170 0.5543 0.6657
Sc 0.5450 0.2721 0.8181

***

Record 13
A relaxed K2CaOs crystal, computed with PBE.

- Space group: Cmmm, No. 65
- Final energy: -2.6260 eV per atom
- Total moment: 1.5 μB/f.u.

abc: 3.1666 3.1666 12.7263
angles: 90.00 90.00 90.13
Fractional positions:
K 0.0000 0.0000 0.1961
K 0.0000 0.0000 0.8039
Ca 0.5000 0.5000 0.5000
Os 0.5000 0.5000 0.0000

***

Record 14
A relaxed Na2CaTl crystal, computed with PBE.

- Space group: R-3m, No. 166
- Final energy: -1.6768 eV per atom
- Total moment: 0.0 μB/f.u.

abc: 12.6346 12.6346 12.6346
angles: 16.64 16.64 16.64
Fractional positions:
Na 0.0951 0.0951 0.0951
Na 0.9049 0.9049 0.9049
Ca 0.0000 0.0000 0.0000
Tl 0.5000 0.5000 0.5000

***

Record 15
A relaxed AcNdPdPt crystal, computed with PBE.

- Space group: Amm2, No. 38
- Final energy: -6.0005 eV per atom
- Total moment: 0.0 μB/f.u.

abc: 4.6392 5.9736 5.9736
angles: 39.47 90.00 90.00
Fractional positions:
Ac 0.0000 0.0000 0.0000
Nd 0.5000 0.7292 0.7292
Pd 0.5000 0.4482 0.4482
Pt 0.0000 0.2739 0.2739

***

Record 16
A relaxed La2CeIn9 crystal, computed with PBE.

- Space group: P4/mmm, No. 123
- Final energy: -3.8324 eV per atom
- Total moment: 0.7 μB/f.u.

abc: 4.7629 4.7629 14.2861
angles: 90.00 90.00 90.00
Fractional positions:
La 0.0000 0.0000 0.1684
La 0.0000 0.0000 0.8316
Ce 0.0000 0.0000 0.5000
In 0.0000 0.5000 0.0000
In 0.0000 0.5000 0.3369
In 0.0000 0.5000 0.6631
In 0.5000 0.0000 0.0000
In 0.5000 0.0000 0.3369
In 0.5000 0.0000 0.6631
In 0.5000 0.5000 0.1679
In 0.5000 0.5000 0.5000
In 0.5000 0.5000 0.8321

***

Record 17
A relaxed La2Nd5YTm crystal, computed with PBE.

- Space group: Cmc2_1, No. 36
- Final energy: -4.8328 eV per atom
- Total moment: 0.0 μB/f.u.

abc: 10.6311 10.6311 10.8243
angles: 90.00 90.00 148.67
Fractional positions:
La 0.1143 0.8857 0.5000
La 0.1168 0.8832 0.0788
La 0.8832 0.1168 0.5788
La 0.8857 0.1143 0.0000
Nd 0.0147 0.9853 0.7839
Nd 0.2769 0.7231 0.0776
Nd 0.2941 0.7059 0.4690
Nd 0.3821 0.6179 0.7855
Nd 0.4834 0.5166 0.5090
Nd 0.5166 0.4834 0.0090
Nd 0.6179 0.3821 0.2855
Nd 0.7059 0.2941 0.9690
Nd 0.7231 0.2769 0.5776
Nd 0.9853 0.0147 0.2839
Y 0.4058 0.5942 0.2310
Y 0.5942 0.4058 0.7310
Tm 0.1999 0.8001 0.7754
Tm 0.8001 0.1999 0.2754

***

Record 18
A relaxed LuSb2Pb crystal, computed with PBE.

- Space group: P4/mmm, No. 123
- Total moment: 0.0 μB/f.u.
- Formation energy (no corrections): -303 meV/atom

abc: 5.2830 5.2830 3.9678
angles: 90.00 90.00 90.00
Fractional positions:
Lu 0.0000 0.0000 0.0000
Sb 0.0000 0.5000 0.5000
Sb 0.5000 0.0000 0.5000
Pb 0.5000 0.5000 0.0000

***

Record 19
A relaxed LiDySc2Hg4 crystal, computed with PBE.

- Space group: R-3m, No. 166
- Final energy: -2.9585 eV per atom
- Total moment: 0.0 μB/f.u.

abc: 8.8453 8.8453 8.8453
angles: 32.51 32.51 32.51
Fractional positions:
Li 0.0000 0.0000 0.0000
Dy 0.5000 0.5000 0.5000
Sc 0.2551 0.2551 0.2551
Sc 0.7449 0.7449 0.7449
Hg 0.1163 0.1163 0.1163
Hg 0.3729 0.3729 0.3729
Hg 0.6271 0.6271 0.6271
Hg 0.8837 0.8837 0.8837

***

Record 20
A relaxed Sm6Dy3HoSc2 crystal, computed with PBE.

- Space group: C2/m, No. 12
- Final energy: -4.9119 eV per atom
- Total moment: 0.0 μB/f.u.

abc: 6.1469 6.1469 11.6099
angles: 95.05 95.05 119.97
Fractional positions:
Sm 0.0817 0.4179 0.7556
Sm 0.2459 0.2459 0.2445
Sm 0.4179 0.0817 0.7556
Sm 0.5821 0.9183 0.2444
Sm 0.7541 0.7541 0.7555
Sm 0.9183 0.5821 0.2444
Dy 0.0000 0.0000 0.5000
Dy 0.3332 0.6668 0.5000
Dy 0.6668 0.3332 0.5000
Ho 0.5000 0.5000 0.0000
Sc 0.1666 0.8334 0.0000
Sc 0.8334 0.1666 0.0000

***

Record 21
A relaxed AlSnH2 crystal, computed with PBE.

- Space group: Fm-3m, No. 225
- Final energy: -2.9694 eV per atom
- Total moment: 0.0 μB/f.u.

abc: 4.1671 4.1671 4.1671
angles: 60.00 60.00 60.00
Fractional positions:
Al 0.0000 0.0000 0.0000
Sn 0.5000 0.5000 0.5000
H 0.2500 0.2500 0.2500
H 0.7500 0.7500 0.7500

***

Record 22
A relaxed ZnCr2Mo2 crystal, computed with PBE.

- Space group: I4/mmm, No. 139
- Final energy: -7.6805 eV per atom
- Total moment: 0.0 μB/f.u.

abc: 6.3152 6.3152 6.3152
angles: 145.39 145.39 49.76
Fractional positions:
Zn 0.0000 0.0000 0.0000
Cr 0.2500 0.7500 0.5000
Cr 0.7500 0.2500 0.5000
Mo 0.3831 0.3831 0.0000
Mo 0.6169 0.6169 0.0000

***

Record 23
A relaxed Nd8InRu2 crystal, computed with PBE.

- Space group: C2/m, No. 12
- Final energy: -5.5504 eV per atom
- Total moment: 0.0 μB/f.u.

abc: 8.1807 8.1807 5.6240
angles: 97.40 97.40 113.81
Fractional positions:
Nd 0.1084 0.1084 0.8004
Nd 0.1737 0.4290 0.4389
Nd 0.2504 0.7496 0.0000
Nd 0.4290 0.1737 0.4389
Nd 0.5710 0.8263 0.5611
Nd 0.7496 0.2504 0.0000
Nd 0.8263 0.5710 0.5611
Nd 0.8916 0.8916 0.1996
In 0.5000 0.5000 0.0000
Ru 0.1981 0.8019 0.5000
Ru 0.8019 0.1981 0.5000

***

Record 24
A relaxed RbIn2SnAu4 crystal, computed with PBE.

- Space group: R-3m, No. 166
- Final energy: -3.1017 eV per atom
- Total moment: 0.0 μB/f.u.

abc: 11.3557 11.3557 11.3557
angles: 23.92 23.92 23.92
Fractional positions:
Rb 0.0000 0.0000 0.0000
In 0.2449 0.2449 0.2449
In 0.7551 0.7551 0.7551
Sn 0.5000 0.5000 0.5000
Au 0.1299 0.1299 0.1299
Au 0.4097 0.4097 0.4097
Au 0.5903 0.5903 0.5903
Au 0.8701 0.8701 0.8701

***

Record 25
A relaxed LiYOs3 crystal, computed with PBE.

- Space group: Pm-3m, No. 221
- Final energy: -7.4828 eV per atom
- Total moment: 0.0 μB/f.u.

abc: 4.2938 4.2938 4.2938
angles: 90.00 90.00 90.00
Fractional positions:
Li 0.0000 0.0000 0.0000
Y 0.5000 0.5000 0.5000
Os 0.0000 0.0000 0.5000
Os 0.0000 0.5000 0.0000
Os 0.5000 0.0000 0.0000